1.
The following is a DFT calculation (PBE-GGA) of an optimized crystal structure of HfB2Os.

The calculation puts the energy above the lowest structure with this stoichiometry at 0.00 kcal/mol of atoms. Its total DFT energy (no corrections) is -8.67 eV per atom. As for the total magnetization: 0.00 μB per formula unit. The value obtained for the formation energy is -0.031 eV/atom. As for the crystal system: cubic.

abc: 5.678 5.678 5.678
angles: 90.00 90.00 90.00
Space group Fm-3m (No. 225)
Symmetry-distinct sites (fractional):
Hf 0.000 0.000 0.000 x4
B 0.250 0.250 0.250 x8
Os 0.000 0.000 0.500 x4


2.
The following is a DFT calculation (PBE-GGA) of an optimized crystal structure of CsRbSr2Hg.

The calculation puts the energy above the lowest structure with this stoichiometry at 0.00 kcal/mol of atoms. Its total DFT energy (no corrections) is -1.17 eV per atom. As for the total magnetization: 0.00 μB per formula unit. The value obtained for the formation energy is -0.073 eV/atom. As for the crystal system: tetragonal.

abc: 6.512 6.512 7.366
angles: 90.00 90.00 90.00
Space group P4/mmm (No. 123)
Symmetry-distinct sites (fractional):
Cs 0.000 0.000 0.000 x1
Rb 0.500 0.500 0.000 x1
Sr 0.000 0.500 0.500 x2
Hg 0.500 0.500 0.500 x1


3.
The following is a DFT calculation (PBE-GGA) of an optimized crystal structure of MgPa2Si4Rh3.

Its total DFT energy (no corrections) is -7.22 eV per atom. As for the total magnetization: 0.00 μB per formula unit. The formation energy from raw total energies is -0.783 eV/atom. As for the crystal system: tetragonal.

abc: 4.096 4.096 10.288
angles: 90.00 90.00 90.00
Space group P-4m2 (No. 115)
Symmetry-distinct sites (fractional):
Mg 0.000 0.000 0.000 x1
Pa 0.000 0.500 0.740 x2
Si 0.000 0.000 0.500 x1
Si 0.000 0.500 0.148 x2
Si 0.500 0.500 0.500 x1
Rh 0.000 0.500 0.378 x2
Rh 0.500 0.500 0.000 x1


4.
The following is a DFT calculation (PBE-GGA) of an optimized crystal structure of NdTlPt.

Its total DFT energy (no corrections) is -4.85 eV per atom. As for the total magnetization: 0.00 μB per formula unit. The value obtained for the formation energy is -0.458 eV/atom. As for the crystal system: trigonal.

abc: 4.7318 4.7318 26.5847
angles: 90.00 90.00 120.00
Space group R-3m (No. 166, hexagonal axes)
Symmetry-distinct sites (fractional):
Nd 0.0000 0.0000 0.0917 x6
Tl 0.0000 0.0000 0.3136 x6
Pt 0.0000 0.0000 0.2005 x6


5.
The following is a DFT calculation (PBE-GGA) of an optimized crystal structure of NaAcSeO5.

Its total DFT energy (no corrections) is -5.98 eV per atom. As for the total magnetization: 0.00 μB per formula unit. The formation energy from raw total energies is -1.771 eV/atom. As for the crystal system: monoclinic.

abc: 8.916 9.656 8.524
angles: 90.00 118.39 90.00
Space group C2/c (No. 15)
Symmetry-distinct sites (fractional):
Na 0.000 0.178 0.250 x4
Ac 0.000 0.500 0.000 x4
Se 0.000 0.141 0.750 x4
O 0.000 0.405 0.250 x4
O 0.026 0.239 0.603 x8
O 0.166 0.033 0.857 x8


6.
The following is a DFT calculation (PBE-GGA) of an optimized crystal structure of CrCoSe2N.

The calculation puts the energy above the lowest structure with this stoichiometry at 0.00 kcal/mol of atoms. Its total DFT energy (no corrections) is -6.05 eV per atom. As for the total magnetization: 3.42 μB per formula unit. The formation energy from raw total energies is 0.350 eV/atom. As for the crystal system: tetragonal.

abc: 4.912 4.912 3.375
angles: 90.00 90.00 90.00
Space group P4/mmm (No. 123)
Symmetry-distinct sites (fractional):
Cr 0.000 0.000 0.000 x1
Co 0.500 0.500 0.500 x1
Se 0.000 0.500 0.500 x2
N 0.500 0.500 0.000 x1


7.
The following is a DFT calculation (PBE-GGA) of an optimized crystal structure of In2CoRu.

Its total DFT energy (no corrections) is -5.09 eV per atom. As for the total magnetization: 1.16 μB per formula unit. The value obtained for the formation energy is 0.378 eV/atom. As for the crystal system: orthorhombic.

abc: 3.269 4.938 8.444
angles: 90.00 90.00 90.00
Space group Cmmm (No. 65)
Symmetry-distinct sites (fractional):
In 0.000 0.000 0.242 x4
Co 0.000 0.500 0.000 x2
Ru 0.000 0.500 0.500 x2


8.
The following is a DFT calculation (PBE-GGA) of an optimized crystal structure of HgMo2Pt.

The calculation puts the energy above the lowest structure with this stoichiometry at 1.82 kcal/mol of atoms. Its total DFT energy (no corrections) is -6.77 eV per atom. As for the total magnetization: 0.00 μB per formula unit. The value obtained for the formation energy is 0.234 eV/atom. As for the crystal system: monoclinic.

abc: 9.546 2.766 5.135
angles: 90.00 98.12 90.00
Space group Cm (No. 8)
Symmetry-distinct sites (fractional):
Hg 0.000 0.000 0.000 x2
Mo 0.245 0.000 0.727 x2
Mo 0.489 0.000 0.500 x2
Pt 0.256 0.500 0.251 x2


9.
The following is a DFT calculation (PBE-GGA) of an optimized crystal structure of Pr5Y2In2.

Its total DFT energy (no corrections) is -4.81 eV per atom. As for the total magnetization: 0.00 μB per formula unit. The value obtained for the formation energy is -0.113 eV/atom. As for the crystal system: orthorhombic.

abc: 20.014 6.434 9.107
angles: 90.00 90.00 90.00
Space group Ima2 (No. 46)
Symmetry-distinct sites (fractional):
Pr 0.083 0.113 0.000 x8
Pr 0.168 0.550 0.838 x8
Pr 0.250 0.087 0.676 x4
Y 0.072 0.614 0.147 x8
In 0.000 0.000 0.326 x4
In 0.250 0.580 0.523 x4


10.
The following is a DFT calculation (PBE-GGA) of an optimized crystal structure of BiAuN2.

Its total DFT energy (no corrections) is -4.78 eV per atom. As for the total magnetization: 0.00 μB per formula unit. The formation energy from raw total energies is 1.171 eV/atom. As for the crystal system: tetragonal.

abc: 5.214 5.214 10.475
angles: 90.00 90.00 90.00
Space group I-42d (No. 122)
Symmetry-distinct sites (fractional):
Bi 0.000 0.000 0.000 x4
Au 0.000 0.000 0.500 x4
N 0.249 0.250 0.625 x8


11.
The following is a DFT calculation (PBE-GGA) of an optimized crystal structure of Na2GaBiH.

Its total DFT energy (no corrections) is -2.71 eV per atom. As for the total magnetization: 0.00 μB per formula unit. As for the crystal system: tetragonal.

abc: 4.502 4.502 5.099
angles: 90.00 90.00 90.00
Space group P4/mmm (No. 123)
Symmetry-distinct sites (fractional):
Na 0.000 0.500 0.000 x2
Ga 0.000 0.000 0.500 x1
Bi 0.500 0.500 0.500 x1
H 0.000 0.000 0.000 x1


12.
The following is a DFT calculation (PBE-GGA) of an optimized crystal structure of Nd2Sn2Rh5Pb.

Its total DFT energy (no corrections) is -6.28 eV per atom. As for the total magnetization: 0.00 μB per formula unit. The value obtained for the formation energy is -0.478 eV/atom. As for the crystal system: tetragonal.

abc: 10.344 10.344 3.803
angles: 90.00 90.00 90.00
Space group P4/mbm (No. 127)
Symmetry-distinct sites (fractional):
Nd 0.174 0.326 0.000 x4
Sn 0.124 0.624 0.000 x4
Rh 0.000 0.500 0.500 x2
Rh 0.064 0.792 0.500 x8
Pb 0.000 0.000 0.000 x2


Repeat the first record exactly.
The following is a DFT calculation (PBE-GGA) of an optimized crystal structure of HfB2Os.

The calculation puts the energy above the lowest structure with this stoichiometry at 0.00 kcal/mol of atoms. Its total DFT energy (no corrections) is -8.67 eV per atom. As for the total magnetization: 0.00 μB per formula unit. The value obtained for the formation energy is -0.031 eV/atom. As for the crystal system: cubic.

abc: 5.678 5.678 5.678
angles: 90.00 90.00 90.00
Space group Fm-3m (No. 225)
Symmetry-distinct sites (fractional):
Hf 0.000 0.000 0.000 x4
B 0.250 0.250 0.250 x8
Os 0.000 0.000 0.500 x4


Question: Which formula does entry 8 have?
Answer: HgMo2Pt


What did the fourth record say?
The following is a DFT calculation (PBE-GGA) of an optimized crystal structure of NdTlPt.

Its total DFT energy (no corrections) is -4.85 eV per atom. As for the total magnetization: 0.00 μB per formula unit. The value obtained for the formation energy is -0.458 eV/atom. As for the crystal system: trigonal.

abc: 4.7318 4.7318 26.5847
angles: 90.00 90.00 120.00
Space group R-3m (No. 166, hexagonal axes)
Symmetry-distinct sites (fractional):
Nd 0.0000 0.0000 0.0917 x6
Tl 0.0000 0.0000 0.3136 x6
Pt 0.0000 0.0000 0.2005 x6


Question: Look up the total DFT energy (no corrections) of the fourth one.
Answer: -4.85 eV per atom